Below is a crystal of YHfC3 relaxed with PBEsol, with properties calculated at the SCAN level.

Results
As for the total moment: 0.00 μB/f.u. The space group is Pm-3m, No. 221. The total DFT energy (no corrections) is -110.14 eV for the cell shown.

The structure in CIF format:
```
data_YHfC3
_chemical_formula_sum 'Y1 Hf1 C3'
_cell_length_a 4.178
_cell_length_b 4.178
_cell_length_c 4.178
_cell_angle_alpha 90.00
_cell_angle_beta 90.00
_cell_angle_gamma 90.00
_symmetry_space_group_name_H-M 'P 1'
_symmetry_Int_Tables_number 1
loop_
_symmetry_equiv_pos_as_xyz
'x,y,z'
loop_
_atom_site_label
_atom_site_fract_x
_atom_site_fract_y
_atom_site_fract_z
_atom_site_occupancy
Y1 0.000 0.000 0.000 1
Hf1 0.500 0.500 0.500 1
C1 0.000 0.000 0.500 1
C2 0.000 0.500 0.000 1
C3 0.500 0.000 0.000 1
```

***

Below is a crystal of RePtW2 relaxed with PBEsol, with properties calculated at the SCAN level.

Results
As for the total moment: 0.00 μB/f.u. The space group is Cmmm, No. 65. The total DFT energy (no corrections) is -281.00 eV for the cell shown. Its energy above the most stable polymorph in this dataset is 58.0 meV per atom.

The structure in CIF format:
```
data_RePtW2
_chemical_formula_sum 'Re1 Pt1 W2'
_cell_length_a 4.843
_cell_length_b 4.843
_cell_length_c 2.743
_cell_angle_alpha 90.00
_cell_angle_beta 90.00
_cell_angle_gamma 110.12
_symmetry_space_group_name_H-M 'P 1'
_symmetry_Int_Tables_number 1
loop_
_symmetry_equiv_pos_as_xyz
'x,y,z'
loop_
_atom_site_label
_atom_site_fract_x
_atom_site_fract_y
_atom_site_fract_z
_atom_site_occupancy
Re1 0.000 0.000 0.000 1
Pt1 0.500 0.500 0.000 1
W1 0.000 0.500 0.500 1
W2 0.500 0.000 0.500 1
```

***

Below is a crystal of KLi3Pt relaxed with PBEsol, with properties calculated at the SCAN level.

Results
As for the total moment: 0.00 μB/f.u. The space group is Pm-3m, No. 221. The total DFT energy (no corrections) is -86.80 eV for the cell shown.

The structure in CIF format:
```
data_KLi3Pt
_chemical_formula_sum 'K1 Li3 Pt1'
_cell_length_a 4.930
_cell_length_b 4.930
_cell_length_c 4.930
_cell_angle_alpha 90.00
_cell_angle_beta 90.00
_cell_angle_gamma 90.00
_symmetry_space_group_name_H-M 'P 1'
_symmetry_Int_Tables_number 1
loop_
_symmetry_equiv_pos_as_xyz
'x,y,z'
loop_
_atom_site_label
_atom_site_fract_x
_atom_site_fract_y
_atom_site_fract_z
_atom_site_occupancy
K1 0.000 0.000 0.000 1
Li1 0.000 0.500 0.500 1
Li2 0.500 0.000 0.500 1
Li3 0.500 0.500 0.000 1
Pt1 0.500 0.500 0.500 1
```

***

Below is a crystal of TiP2O relaxed with PBEsol, with properties calculated at the SCAN level.

Results
As for the total moment: 0.00 μB/f.u. The space group is I-42d, No. 122. The total DFT energy (no corrections) is -87.20 eV for the cell shown. As for the energy relative to the elements, uncorrected: -0.135 eV per atom.

The structure in CIF format:
```
data_TiP2O
_chemical_formula_sum 'Ti2 P4 O2'
_cell_length_a 5.212
_cell_length_b 5.212
_cell_length_c 5.212
_cell_angle_alpha 113.74
_cell_angle_beta 113.74
_cell_angle_gamma 101.23
_symmetry_space_group_name_H-M 'P 1'
_symmetry_Int_Tables_number 1
loop_
_symmetry_equiv_pos_as_xyz
'x,y,z'
loop_
_atom_site_label
_atom_site_fract_x
_atom_site_fract_y
_atom_site_fract_z
_atom_site_occupancy
Ti1 0.000 0.000 0.000 1
Ti2 0.750 0.250 0.500 1
P1 0.198 0.125 0.573 1
P2 0.375 0.802 0.927 1
P3 0.552 0.625 0.427 1
P4 0.875 0.448 0.073 1
O1 0.250 0.750 0.500 1
O2 0.500 0.500 0.000 1
```

***

Below is a crystal of Rb2Mo2H4C4O15 relaxed with PBEsol, with properties calculated at the SCAN level.

Results
As for the total moment: 0.00 μB/f.u. The space group is P2_1/c, No. 14. The total DFT energy (no corrections) is -603.38 eV for the cell shown.

The structure in CIF format:
```
data_Rb2Mo2H4C4O15
_chemical_formula_sum 'Rb4 Mo4 H8 C8 O30'
_cell_length_a 7.681
_cell_length_b 14.124
_cell_length_c 6.786
_cell_angle_alpha 90.00
_cell_angle_beta 94.11
_cell_angle_gamma 90.00
_symmetry_space_group_name_H-M 'P 1'
_symmetry_Int_Tables_number 1
loop_
_symmetry_equiv_pos_as_xyz
'x,y,z'
loop_
_atom_site_label
_atom_site_fract_x
_atom_site_fract_y
_atom_site_fract_z
_atom_site_occupancy
Rb1 0.187 0.134 0.371 1
Rb2 0.187 0.366 0.871 1
Rb3 0.813 0.634 0.129 1
Rb4 0.813 0.866 0.629 1
Mo1 0.108 0.608 0.614 1
Mo2 0.108 0.892 0.114 1
Mo3 0.892 0.108 0.886 1
Mo4 0.892 0.392 0.386 1
H1 0.260 0.681 0.269 1
H2 0.260 0.819 0.769 1
H3 0.294 0.565 0.272 1
H4 0.294 0.935 0.772 1
H5 0.706 0.065 0.228 1
H6 0.706 0.435 0.728 1
H7 0.740 0.181 0.231 1
H8 0.740 0.319 0.731 1
C1 0.462 0.678 0.753 1
C2 0.462 0.822 0.253 1
C3 0.484 0.570 0.738 1
C4 0.484 0.930 0.238 1
C5 0.516 0.070 0.762 1
C6 0.516 0.430 0.262 1
C7 0.538 0.178 0.747 1
C8 0.538 0.322 0.247 1
O1 0.000 0.000 0.000 1
O2 0.000 0.500 0.500 1
O3 0.026 0.198 0.966 1
O4 0.026 0.302 0.466 1
O5 0.066 0.590 0.854 1
O6 0.066 0.910 0.354 1
O7 0.220 0.618 0.321 1
O8 0.220 0.882 0.821 1
O9 0.306 0.707 0.690 1
O10 0.306 0.793 0.190 1
O11 0.348 0.527 0.662 1
O12 0.348 0.973 0.162 1
O13 0.376 0.033 0.700 1
O14 0.376 0.467 0.200 1
O15 0.419 0.230 0.681 1
O16 0.419 0.270 0.181 1
O17 0.581 0.730 0.819 1
O18 0.581 0.770 0.319 1
O19 0.624 0.533 0.800 1
O20 0.624 0.967 0.300 1
O21 0.652 0.027 0.838 1
O22 0.652 0.473 0.338 1
O23 0.694 0.207 0.810 1
O24 0.694 0.293 0.310 1
O25 0.780 0.118 0.179 1
O26 0.780 0.382 0.679 1
O27 0.934 0.090 0.646 1
O28 0.934 0.410 0.146 1
O29 0.974 0.698 0.534 1
O30 0.974 0.802 0.034 1
```

***

Below is a crystal of RuIN2F relaxed with PBEsol, with properties calculated at the SCAN level.

Results
As for the total moment: 1.78 μB/f.u. The space group is P4/mmm, No. 123. The total DFT energy (no corrections) is -80.97 eV for the cell shown. As for the energy relative to the elements, uncorrected: 2.543 eV per atom.

The structure in CIF format:
```
data_RuIN2F
_chemical_formula_sum 'Ru1 I1 N2 F1'
_cell_length_a 3.910
_cell_length_b 3.910
_cell_length_c 4.275
_cell_angle_alpha 90.00
_cell_angle_beta 90.00
_cell_angle_gamma 90.00
_symmetry_space_group_name_H-M 'P 1'
_symmetry_Int_Tables_number 1
loop_
_symmetry_equiv_pos_as_xyz
'x,y,z'
loop_
_atom_site_label
_atom_site_fract_x
_atom_site_fract_y
_atom_site_fract_z
_atom_site_occupancy
Ru1 0.000 0.000 0.000 1
I1 0.500 0.500 0.000 1
N1 0.000 0.500 0.500 1
N2 0.500 0.000 0.500 1
F1 0.500 0.500 0.500 1
```

***

Below is a crystal of Zr2ZnSi relaxed with PBEsol, with properties calculated at the SCAN level.

Results
As for the total moment: 0.00 μB/f.u. The space group is I4/mmm, No. 139. The total DFT energy (no corrections) is -86.80 eV for the cell shown. As for the energy relative to the elements, uncorrected: -0.469 eV per atom.

The structure in CIF format:
```
data_Zr2ZnSi
_chemical_formula_sum 'Zr2 Zn1 Si1'
_cell_length_a 4.892
_cell_length_b 4.892
_cell_length_c 4.892
_cell_angle_alpha 128.66
_cell_angle_beta 128.66
_cell_angle_gamma 75.55
_symmetry_space_group_name_H-M 'P 1'
_symmetry_Int_Tables_number 1
loop_
_symmetry_equiv_pos_as_xyz
'x,y,z'
loop_
_atom_site_label
_atom_site_fract_x
_atom_site_fract_y
_atom_site_fract_z
_atom_site_occupancy
Zr1 0.250 0.750 0.500 1
Zr2 0.750 0.250 0.500 1
Zn1 0.000 0.000 0.000 1
Si1 0.500 0.500 0.000 1
```

***

Below is a crystal of Y2Pd2I relaxed with PBEsol, with properties calculated at the SCAN level.

Results
As for the total moment: 0.00 μB/f.u. The space group is I4/mmm, No. 139. The total DFT energy (no corrections) is -161.78 eV for the cell shown. As for the energy relative to the elements, uncorrected: -0.760 eV per atom.

The structure in CIF format:
```
data_Y2Pd2I
_chemical_formula_sum 'Y2 Pd2 I1'
_cell_length_a 8.681
_cell_length_b 8.681
_cell_length_c 8.681
_cell_angle_alpha 154.42
_cell_angle_beta 154.42
_cell_angle_gamma 36.49
_symmetry_space_group_name_H-M 'P 1'
_symmetry_Int_Tables_number 1
loop_
_symmetry_equiv_pos_as_xyz
'x,y,z'
loop_
_atom_site_label
_atom_site_fract_x
_atom_site_fract_y
_atom_site_fract_z
_atom_site_occupancy
Y1 0.129 0.129 0.000 1
Y2 0.871 0.871 0.000 1
Pd1 0.250 0.750 0.500 1
Pd2 0.750 0.250 0.500 1
I1 0.500 0.500 0.000 1
```

***

Below is a crystal of Ca2InB relaxed with PBEsol, with properties calculated at the SCAN level.

Results
As for the total moment: 0.00 μB/f.u. The space group is I-42d, No. 122. The total DFT energy (no corrections) is -117.01 eV for the cell shown. Its energy above the most stable polymorph in this dataset is 191.9 meV per atom.

The structure in CIF format:
```
data_Ca2InB
_chemical_formula_sum 'Ca4 In2 B2'
_cell_length_a 6.450
_cell_length_b 6.450
_cell_length_c 6.450
_cell_angle_alpha 103.66
_cell_angle_beta 103.66
_cell_angle_gamma 121.85
_symmetry_space_group_name_H-M 'P 1'
_symmetry_Int_Tables_number 1
loop_
_symmetry_equiv_pos_as_xyz
'x,y,z'
loop_
_atom_site_label
_atom_site_fract_x
_atom_site_fract_y
_atom_site_fract_z
_atom_site_occupancy
Ca1 0.055 0.625 0.930 1
Ca2 0.375 0.305 0.430 1
Ca3 0.695 0.125 0.070 1
Ca4 0.875 0.945 0.570 1
In1 0.250 0.750 0.500 1
In2 0.500 0.500 0.000 1
B1 0.000 0.000 0.000 1
B2 0.750 0.250 0.500 1
```

***

Below is a crystal of LaCoAu relaxed with PBEsol, with properties calculated at the SCAN level.

Results
As for the total moment: 1.62 μB/f.u. The space group is F-43m, No. 216. The total DFT energy (no corrections) is -129.85 eV for the cell shown.

The structure in CIF format:
```
data_LaCoAu
_chemical_formula_sum 'La1 Co1 Au1'
_cell_length_a 4.669
_cell_length_b 4.669
_cell_length_c 4.669
_cell_angle_alpha 60.00
_cell_angle_beta 60.00
_cell_angle_gamma 60.00
_symmetry_space_group_name_H-M 'P 1'
_symmetry_Int_Tables_number 1
loop_
_symmetry_equiv_pos_as_xyz
'x,y,z'
loop_
_atom_site_label
_atom_site_fract_x
_atom_site_fract_y
_atom_site_fract_z
_atom_site_occupancy
La1 0.000 0.000 0.000 1
Co1 0.500 0.500 0.500 1
Au1 0.750 0.750 0.750 1
```

***

Below is a crystal of BaMg2Hg2 relaxed with PBEsol, with properties calculated at the SCAN level.

Results
As for the total moment: 0.00 μB/f.u. The space group is I4/mmm, No. 139. The total DFT energy (no corrections) is -188.53 eV for the cell shown.

The structure in CIF format:
```
data_BaMg2Hg2
_chemical_formula_sum 'Ba1 Mg2 Hg2'
_cell_length_a 7.185
_cell_length_b 7.185
_cell_length_c 7.185
_cell_angle_alpha 142.27
_cell_angle_beta 142.27
_cell_angle_gamma 54.42
_symmetry_space_group_name_H-M 'P 1'
_symmetry_Int_Tables_number 1
loop_
_symmetry_equiv_pos_as_xyz
'x,y,z'
loop_
_atom_site_label
_atom_site_fract_x
_atom_site_fract_y
_atom_site_fract_z
_atom_site_occupancy
Ba1 0.000 0.000 0.000 1
Mg1 0.250 0.750 0.500 1
Mg2 0.750 0.250 0.500 1
Hg1 0.383 0.383 0.000 1
Hg2 0.617 0.617 0.000 1
```

***

Below is a crystal of RePtW2 relaxed with PBEsol, with properties calculated at the SCAN level.

Results
As for the total moment: 0.00 μB/f.u. The space group is I4/mmm, No. 139. The total DFT energy (no corrections) is -281.16 eV for the cell shown. Its energy above the most stable polymorph in this dataset is 18.1 meV per atom.

The structure in CIF format:
```
data_RePtW2
_chemical_formula_sum 'Re1 Pt1 W2'
_cell_length_a 4.774
_cell_length_b 4.774
_cell_length_c 4.774
_cell_angle_alpha 131.15
_cell_angle_beta 131.15
_cell_angle_gamma 71.58
_symmetry_space_group_name_H-M 'P 1'
_symmetry_Int_Tables_number 1
loop_
_symmetry_equiv_pos_as_xyz
'x,y,z'
loop_
_atom_site_label
_atom_site_fract_x
_atom_site_fract_y
_atom_site_fract_z
_atom_site_occupancy
Re1 0.000 0.000 0.000 1
Pt1 0.500 0.500 0.000 1
W1 0.250 0.750 0.500 1
W2 0.750 0.250 0.500 1
```